PBE Na2In3Ga, relaxed; electronic total energy = -2.2815 eV/atom; total moment = 0.00 μB per cell; density of states at the Fermi level = 6.19 states/eV per cell; symmetry = P-3m1, No. 164; calculated formation energy = 0.032 eV/atom; excess energy over the best structure of this formula in the dataset = 0.94 eV per formula unit
1.0
6.226 0.000 0.000
-3.113 5.391 0.000
0.000 0.000 9.968
Na In Ga
4 6 2
Direct
0.000 0.000 0.000
0.000 0.000 0.500
0.333 0.667 0.084
0.667 0.333 0.916
0.171 0.343 0.742
0.171 0.829 0.742
0.343 0.171 0.258
0.657 0.829 0.742
0.829 0.171 0.258
0.829 0.657 0.258
0.333 0.667 0.439
0.667 0.333 0.561


PBE VTcBr3, relaxed; electronic total energy = -4.4230 eV/atom; total moment = 7.83 μB per cell; density of states at the Fermi level = 5.62 states/eV per cell; E_form (uncorrected) = 0.478 eV per atom; symmetry = Pm-3m, No. 221; excess energy over the best structure of this formula in the dataset = 0.00 eV per formula unit
1.0
5.166 0.000 0.000
0.000 5.166 0.000
0.000 0.000 5.166
V Tc Br
1 1 3
Direct
0.000 0.000 0.000
0.500 0.500 0.500
0.000 0.000 0.500
0.000 0.500 0.000
0.500 0.000 0.000


PBE HoB2Rh6, relaxed; electronic total energy = -6.9712 eV/atom; total moment = 2.51 μB per cell; density of states at the Fermi level = 28.47 states/eV per cell; symmetry = Fd-3m, No. 227; calculated formation energy = -0.078 eV/atom
1.0
0.000 5.252 5.252
5.252 0.000 5.252
5.252 5.252 0.000
Ho B Rh
2 4 12
Direct
0.125 0.125 0.125
0.875 0.875 0.875
0.000 0.500 0.500
0.500 0.000 0.500
0.500 0.500 0.000
0.500 0.500 0.500
0.164 0.164 0.586
0.164 0.586 0.164
0.164 0.586 0.586
0.414 0.414 0.836
0.414 0.836 0.414
0.414 0.836 0.836
0.586 0.164 0.164
0.586 0.164 0.586
0.586 0.586 0.164
0.836 0.414 0.414
0.836 0.414 0.836
0.836 0.836 0.414


PBE TaFeAs, relaxed; electronic total energy = -8.5598 eV/atom; total moment = 0.00 μB per cell; density of states at the Fermi level = 0.64 states/eV per cell; symmetry = P-6m2, No. 187; calculated formation energy = -0.238 eV/atom
1.0
4.093 0.000 0.000
-2.047 3.545 0.000
0.000 0.000 2.928
Ta Fe As
1 1 1
Direct
0.000 0.000 0.000
0.333 0.667 0.500
0.667 0.333 0.500


Q: Among the records above, which one has the lowest electronic total energy?
A: TaFeAs


Q: Among the records above, which one has the highest density of states at the Fermi level?
A: HoB2Rh6


Q: Among the records above, which one has the lowest density of states at the Fermi level?
A: TaFeAs